72
Lattice="7.609 -4.337 0.000 7.609 4.337 0.000 -3.534 0.000 9.616" Properties=species:S:1:pos:R:3 comment="GGA+U Li24MnCr11O36, relaxed" magmom_total_mub_per_cell=25.00 dft_energy_ev_per_atom=-6.256 pbc="T T T"
Li 7.609 4.335 0.000
Li 5.842 4.329 4.808
Li 4.909 2.972 7.245
Li 6.775 2.972 2.371
Li 1.669 0.011 2.409
Li 2.414 1.427 7.211
Li -0.111 -0.019 7.225
Li 4.188 1.375 2.405
Li 1.539 0.009 9.611
Li 3.296 0.000 4.823
Li 4.154 -1.367 2.413
Li 2.436 -1.349 7.198
Li 4.945 0.018 7.202
Li 6.738 0.018 2.415
Li 9.270 1.427 2.405
Li 7.496 1.375 7.211
Li 10.145 0.009 0.006
Li 8.388 0.000 4.793
Li 9.248 -1.349 2.418
Li 7.530 -1.367 7.204
Li 10.015 0.011 7.208
Li 11.794 -0.019 2.391
Li 6.712 -2.927 2.399
Li 4.972 -2.927 7.218
Mn 7.609 1.463 0.000
Cr 3.248 2.838 4.793
Cr 1.565 2.875 9.607
Cr 5.842 1.530 4.808
Cr 10.118 2.875 0.010
Cr 8.436 2.838 4.823
Cr 1.526 -2.833 9.607
Cr 5.842 -1.382 4.808
Cr 7.609 -1.484 0.000
Cr 3.387 -2.909 4.797
Cr 10.158 -2.833 0.009
Cr 8.297 -2.909 4.820
O 2.373 1.558 3.739
O 0.680 1.598 8.534
O 0.079 0.028 3.711
O -1.692 0.014 8.528
O 3.214 2.807 8.527
O 4.962 2.770 3.716
O 4.175 1.618 5.896
O 5.979 1.572 1.063
O 3.247 0.014 1.097
O 1.457 -0.028 5.924
O 8.470 2.807 1.089
O 6.722 2.770 5.900
O 7.509 1.618 3.720
O 5.705 1.572 8.553
O 5.126 0.035 3.707
O 3.368 0.019 8.528
O 0.656 -1.568 8.524
O 2.450 -1.555 3.744
O 11.004 1.598 1.082
O 8.316 0.019 1.089
O 6.558 0.035 5.910
O 9.310 1.558 5.877
O 4.261 -1.491 5.889
O 5.930 -1.568 1.082
O 3.206 -2.733 8.519
O 4.928 -2.789 3.732
O 7.423 -1.491 3.727
O 8.437 0.014 8.519
O 10.227 -0.028 3.692
O 5.754 -1.568 8.535
O 8.478 -2.733 1.097
O 11.605 0.028 5.905
O 13.376 0.014 1.089
O 6.756 -2.789 5.884
O 9.234 -1.555 5.872
O 11.028 -1.568 1.092